Below is a geometry-optimized Y2Er6Tm3Pb structure, with properties calculated at the PBE-GGA level.

Output
As for the energy of formation: -0.049 eV per atom. The crystal system is monoclinic. The calculation puts the spin magnetization at 0.0 μB/f.u. Its calculated density is 8.73 g/cm³.

Cell lengths 6.0317, 6.0317, 11.6226 Å; angles 94.99, 94.99, 120.03 degrees
Fractional positions:
Er 0.0832 0.4133 0.2512
Pb 0.0000 0.0000 0.0000
Y 0.3339 0.6661 0.0000
Y 0.6661 0.3339 0.0000
Er 0.9168 0.5867 0.7488
Er 0.5867 0.9168 0.7488
Tm 0.1671 0.8329 0.5000
Er 0.4133 0.0832 0.2512
Er 0.7534 0.7534 0.2526
Tm 0.8329 0.1671 0.5000
Er 0.2466 0.2466 0.7474
Tm 0.5000 0.5000 0.5000